(1)
First-principles (PBEsol) data for a relaxed HgSbOs2 crystal, as listed in the Alexandria database.

Computed properties:
* symmetry: P4/mmm
* N(E_F): 1.15 states/eV/atom
* E_form (uncorrected): 849 meV per atom

Geometry as POSCAR:
```
HgSbOs2
1.0
4.5359 0.0000 0.0000
0.0000 4.5359 0.0000
0.0000 0.0000 3.2432
Hg Sb Os
1 1 2
Cartesian
0.0000 0.0000 0.0000
2.2679 2.2679 0.0000
0.0000 2.2679 1.6216
2.2679 0.0000 1.6216
```


(2)
First-principles (PBEsol) data for a relaxed Ni3PdAu crystal, as listed in the Alexandria database.

Computed properties:
* symmetry: Pm-3m
* N(E_F): 2.02 states/eV/atom
* E_form: 133.31 kJ per mole of atoms

Geometry as POSCAR:
```
Ni3PdAu
1.0
4.4317 0.0000 0.0000
0.0000 4.4317 0.0000
0.0000 0.0000 4.4317
Ni Pd Au
3 1 1
Cartesian
0.0000 0.0000 2.2158
0.0000 2.2158 0.0000
2.2158 0.0000 0.0000
0.0000 0.0000 0.0000
2.2158 2.2158 2.2158
```


(3)
First-principles (PBEsol) data for a relaxed Be2ReBiI crystal, as listed in the Alexandria database.

Computed properties:
* symmetry: P4/mmm
* N(E_F): 0.91 states/eV/atom
* E_form (uncorrected): 1911 meV per atom

Geometry as POSCAR:
```
Be2ReBiI
1.0
4.5620 0.0000 0.0000
0.0000 4.5620 0.0000
0.0000 0.0000 5.0777
Be Re Bi I
2 1 1 1
Cartesian
0.0000 2.2810 0.0000
2.2810 0.0000 0.0000
0.0000 0.0000 2.5389
2.2810 2.2810 2.5389
0.0000 0.0000 0.0000
```


(4)
First-principles (PBEsol) data for a relaxed KTlAg4 crystal, as listed in the Alexandria database.

Computed properties:
* symmetry: F-43m
* N(E_F): 0.49 states/eV/atom
* E_form: 5.93 kJ per mole of atoms

Geometry as POSCAR:
```
KTlAg4
1.0
0.0000 3.9849 3.9849
3.9849 0.0000 3.9849
3.9849 3.9849 0.0000
K Tl Ag
1 1 4
Cartesian
0.0000 0.0000 0.0000
1.9924 1.9924 1.9924
4.9784 2.9914 2.9914
2.9914 4.9784 2.9914
2.9914 2.9914 4.9784
4.9784 4.9784 4.9784
```


(5)
First-principles (PBEsol) data for a relaxed LiC2N3 crystal, as listed in the Alexandria database.

Computed properties:
* symmetry: P2/c
* N(E_F): 0.00 states/eV/atom
* E_form (uncorrected): -110 meV per atom

Geometry as POSCAR:
```
LiC2N3
1.0
5.3568 0.0000 0.0000
0.0000 5.2718 0.0000
-2.5129 0.0000 11.0645
Li C N
4 8 12
Cartesian
0.0000 0.0000 0.0000
-1.2564 0.0000 5.5322
-0.6282 0.4653 2.7661
-1.8846 4.8065 8.2983
1.0034 2.6161 1.3039
-0.2530 2.6557 6.8362
0.1796 1.0621 9.8514
1.4360 4.2098 4.3191
1.4079 1.0621 6.7453
2.6644 4.2098 1.2131
3.0970 2.6161 4.2283
1.8405 2.6557 9.7605
0.4848 1.5767 1.5018
-0.7716 3.6952 7.0340
-0.8898 0.5789 9.7346
0.3666 4.6929 4.2024
0.1971 1.4739 6.5671
1.4535 3.7979 1.0348
1.3904 1.4739 10.0296
2.6468 3.7979 4.4974
2.4773 0.5789 6.8621
3.7338 4.6929 1.3298
3.6155 1.5767 4.0304
2.3591 3.6952 9.5626
```


(6)
First-principles (PBEsol) data for a relaxed RbZn3Te crystal, as listed in the Alexandria database.

Computed properties:
* symmetry: Pm-3m
* N(E_F): 0.84 states/eV/atom
* E_form (uncorrected): 1035 meV per atom

Geometry as POSCAR:
```
RbZn3Te
1.0
6.0012 0.0000 0.0000
0.0000 6.0012 0.0000
0.0000 0.0000 6.0012
Rb Zn Te
1 3 1
Cartesian
0.0000 0.0000 0.0000
0.0000 0.0000 3.0006
0.0000 3.0006 0.0000
3.0006 0.0000 0.0000
3.0006 3.0006 3.0006
```


(7)
First-principles (PBEsol) data for a relaxed Mg2SbPb crystal, as listed in the Alexandria database.

Computed properties:
* symmetry: I4/mmm
* N(E_F): 0.46 states/eV/atom
* E_form (uncorrected): -120 meV per atom

Geometry as POSCAR:
```
Mg2SbPb
1.0
-2.4112 2.4112 4.2093
2.4112 -2.4112 4.2093
2.4112 2.4112 -4.2093
Mg Sb Pb
2 1 1
Cartesian
2.4112 0.0000 2.1046
0.0000 2.4112 2.1046
0.0000 0.0000 0.0000
0.0000 0.0000 4.2093
```


(8)
First-principles (PBEsol) data for a relaxed Ta2CrIn crystal, as listed in the Alexandria database.

Computed properties:
* symmetry: Pm
* N(E_F): 0.97 states/eV/atom
* E_form: 23.47 kJ per mole of atoms

Geometry as POSCAR:
```
Ta2CrIn
1.0
2.8784 0.0000 0.0000
0.0000 4.4161 0.0000
-1.1184 0.0000 5.3605
Ta Cr In
2 1 1
Cartesian
0.0000 0.0000 0.0000
0.0284 2.2081 4.0234
1.9535 2.2081 1.0132
1.3188 0.0000 2.5448
```


(9)
First-principles (PBEsol) data for a relaxed MgBSb3 crystal, as listed in the Alexandria database.

Computed properties:
* symmetry: Pm-3m
* N(E_F): 0.52 states/eV/atom
* E_form (uncorrected): 563 meV per atom

Geometry as POSCAR:
```
MgBSb3
1.0
4.8256 0.0000 0.0000
0.0000 4.8256 0.0000
0.0000 0.0000 4.8256
Mg B Sb
1 1 3
Cartesian
0.0000 0.0000 0.0000
2.4128 2.4128 2.4128
0.0000 2.4128 2.4128
2.4128 0.0000 2.4128
2.4128 2.4128 0.0000
```


(10)
First-principles (PBEsol) data for a relaxed RbTi2P3O12 crystal, as listed in the Alexandria database.

Computed properties:
* symmetry: R-3
* N(E_F): 0.00 states/eV/atom
* E_form (uncorrected): -2588 meV per atom

Geometry as POSCAR:
```
RbTi2P3O12
1.0
4.1829 2.4150 7.8646
-4.1829 2.4150 7.8646
0.0000 -4.8300 7.8646
Rb Ti P O
2 4 6 24
Cartesian
0.0000 0.0000 0.0000
0.0000 0.0000 11.7969
0.0000 0.0000 3.5506
0.0000 0.0000 8.2442
0.0000 0.0000 15.3495
0.0000 0.0000 20.0431
-3.0145 -0.3916 9.8302
-1.1681 -2.8064 13.7636
1.8464 -2.4149 9.8302
-1.8464 2.4148 13.7636
1.1681 2.8064 9.8302
3.0145 0.3916 13.7636
-3.0378 -1.3436 11.0387
-2.6383 -2.6345 13.3388
-3.6008 0.9676 10.2549
-0.3479 -1.5289 7.1031
-1.5433 -0.2331 9.4025
-1.1501 1.0657 7.1031
-0.3553 -3.3026 12.5550
0.9624 -3.6021 10.2549
-2.6825 1.9590 12.5550
0.9736 -1.2200 9.4025
-0.5698 -1.4531 14.1912
-1.4980 -0.4631 16.4907
1.4980 0.4631 7.1031
0.5698 1.4531 9.4025
-0.9736 1.2200 14.1912
2.6825 -1.9590 11.0387
-0.9624 3.6021 13.3388
0.3553 3.3026 11.0387
1.1501 -1.0657 16.4907
1.5433 0.2331 14.1912
0.3479 1.5289 16.4907
3.6007 -0.9676 13.3388
2.6384 2.6345 10.2549
3.0378 1.3436 12.5551
```


(11)
First-principles (PBEsol) data for a relaxed Li3TlTe crystal, as listed in the Alexandria database.

Computed properties:
* symmetry: Pm-3m
* N(E_F): 0.74 states/eV/atom
* E_form (uncorrected): -334 meV per atom

Geometry as POSCAR:
```
Li3TlTe
1.0
5.1459 0.0000 0.0000
0.0000 5.1459 0.0000
0.0000 0.0000 5.1459
Li Tl Te
3 1 1
Cartesian
0.0000 0.0000 2.5729
0.0000 2.5729 0.0000
2.5729 0.0000 0.0000
2.5729 2.5729 2.5729
0.0000 0.0000 0.0000
```


(12)
First-principles (PBEsol) data for a relaxed Mg2ZnIn crystal, as listed in the Alexandria database.

Computed properties:
* symmetry: F-43m
* N(E_F): 0.37 states/eV/atom
* E_form: 2.34 kJ per mole of atoms

Geometry as POSCAR:
```
Mg2ZnIn
1.0
0.0000 3.4382 3.4382
3.4382 0.0000 3.4382
3.4382 3.4382 0.0000
Mg Zn In
2 1 1
Cartesian
0.0000 0.0000 0.0000
1.7191 1.7191 1.7191
5.1573 5.1573 5.1573
3.4382 3.4382 3.4382
```


(13)
First-principles (PBEsol) data for a relaxed BeC crystal, as listed in the Alexandria database.

Computed properties:
* symmetry: Fd-3m
* N(E_F): 0.23 states/eV/atom
* E_form: 200.84 kJ per mole of atoms

Geometry as POSCAR:
```
BeC
1.0
0.0000 2.4426 2.4426
2.4426 0.0000 2.4426
2.4426 2.4426 0.0000
Be C
2 2
Cartesian
0.6106 0.6106 0.6106
4.2745 4.2745 4.2745
1.8319 1.8319 1.8319
3.0532 3.0532 3.0532
```


(14)
First-principles (PBEsol) data for a relaxed YTaIn2 crystal, as listed in the Alexandria database.

Computed properties:
* symmetry: Pmmm
* N(E_F): 0.73 states/eV/atom
* E_form: 13.03 kJ per mole of atoms

Geometry as POSCAR:
```
YTaIn2
1.0
3.3084 0.0000 0.0000
0.0000 5.1165 0.0000
0.0000 0.0000 5.2739
Y Ta In
1 1 2
Cartesian
0.0000 0.0000 0.0000
1.6542 0.0000 2.6369
0.0000 2.5582 2.6369
1.6542 2.5582 0.0000
```


(15)
First-principles (PBEsol) data for a relaxed TaBeCoSe2 crystal, as listed in the Alexandria database.

Computed properties:
* symmetry: P4/mmm
* N(E_F): 0.87 states/eV/atom
* E_form (uncorrected): 915 meV per atom

Geometry as POSCAR:
```
TaBeCoSe2
1.0
4.4171 0.0000 0.0000
0.0000 4.4171 0.0000
0.0000 0.0000 4.6504
Ta Be Co Se
1 1 1 2
Cartesian
0.0000 0.0000 0.0000
2.2085 2.2085 0.0000
0.0000 0.0000 2.3252
0.0000 2.2085 2.3252
2.2085 0.0000 2.3252
```


(16)
First-principles (PBEsol) data for a relaxed Y2FeRh crystal, as listed in the Alexandria database.

Computed properties:
* symmetry: R3m
* N(E_F): 0.95 states/eV/atom
* E_form: -22.10 kJ per mole of atoms

Geometry as POSCAR:
```
Y2FeRh
1.0
2.0079 1.1593 6.6696
-2.0079 1.1593 6.6696
0.0000 -2.3185 6.6696
Y Fe Rh
2 1 1
Cartesian
0.0000 0.0000 0.0000
0.0000 0.0000 3.6366
0.0000 0.0000 15.2165
0.0000 0.0000 8.4241
```


(17)
First-principles (PBEsol) data for a relaxed MoIrPb2 crystal, as listed in the Alexandria database.

Computed properties:
* symmetry: R3m
* N(E_F): 0.88 states/eV/atom
* E_form: 43.28 kJ per mole of atoms

Geometry as POSCAR:
```
MoIrPb2
1.0
1.5243 0.8801 10.5339
-1.5243 0.8801 10.5339
0.0000 -1.7602 10.5339
Mo Ir Pb
1 1 2
Cartesian
0.0000 0.0000 0.0000
0.0000 0.0000 8.6093
0.0000 0.0000 16.6694
0.0000 0.0000 23.5941
```


(18)
First-principles (PBEsol) data for a relaxed RbRh3Se crystal, as listed in the Alexandria database.

Computed properties:
* symmetry: Pm-3m
* N(E_F): 1.85 states/eV/atom
* E_form (uncorrected): 2419 meV per atom

Geometry as POSCAR:
```
RbRh3Se
1.0
4.7303 0.0000 0.0000
0.0000 4.7303 0.0000
0.0000 0.0000 4.7303
Rb Rh Se
1 3 1
Cartesian
0.0000 0.0000 0.0000
0.0000 0.0000 2.3651
0.0000 2.3651 0.0000
2.3651 0.0000 0.0000
2.3651 2.3651 2.3651
```


(19)
First-principles (PBEsol) data for a relaxed Co3OsPb crystal, as listed in the Alexandria database.

Computed properties:
* symmetry: Pm-3m
* N(E_F): 0.92 states/eV/atom
* E_form: 240.63 kJ per mole of atoms

Geometry as POSCAR:
```
Co3OsPb
1.0
4.5591 0.0000 0.0000
0.0000 4.5591 0.0000
0.0000 0.0000 4.5591
Co Os Pb
3 1 1
Cartesian
0.0000 0.0000 2.2796
0.0000 2.2796 0.0000
2.2796 0.0000 0.0000
2.2796 2.2796 2.2796
0.0000 0.0000 0.0000
```


(20)
First-principles (PBEsol) data for a relaxed Li2CaCl2 crystal, as listed in the Alexandria database.

Computed properties:
* symmetry: I4/mmm
* N(E_F): 0.34 states/eV/atom
* E_form (uncorrected): -1160 meV per atom

Geometry as POSCAR:
```
Li2CaCl2
1.0
-2.0110 2.0110 10.0073
2.0110 -2.0110 10.0073
2.0110 2.0110 -10.0073
Li Ca Cl
2 1 2
Cartesian
2.0110 0.0000 5.0037
0.0000 2.0110 5.0037
0.0000 0.0000 0.0000
0.0000 0.0000 6.1688
0.0000 0.0000 13.8458
```


(21)
First-principles (PBEsol) data for a relaxed NdCr2B6 crystal, as listed in the Alexandria database.

Computed properties:
* symmetry: Immm
* N(E_F): 0.48 states/eV/atom
* E_form: -57.85 kJ per mole of atoms

Geometry as POSCAR:
```
NdCr2B6
1.0
-1.5388 3.2513 4.1502
1.5388 -3.2513 4.1502
1.5388 3.2513 -4.1502
Nd Cr B
1 2 6
Cartesian
0.0000 0.0000 0.0000
1.5388 0.0000 2.8749
0.0000 3.2513 1.2753
1.5388 1.7227 -1.6420
1.5388 2.3506 0.0000
1.5388 1.7227 1.6420
0.0000 1.5286 2.5082
0.0000 0.9007 4.1502
0.0000 1.5286 5.7922
```


(22)
First-principles (PBEsol) data for a relaxed KC3Br crystal, as listed in the Alexandria database.

Computed properties:
* symmetry: Pm-3m
* N(E_F): 0.59 states/eV/atom
* E_form (uncorrected): 3235 meV per atom

Geometry as POSCAR:
```
KC3Br
1.0
4.2718 0.0000 0.0000
0.0000 4.2718 0.0000
0.0000 0.0000 4.2718
K C Br
1 3 1
Cartesian
0.0000 0.0000 0.0000
0.0000 2.1359 2.1359
2.1359 0.0000 2.1359
2.1359 2.1359 0.0000
2.1359 2.1359 2.1359
```


(23)
First-principles (PBEsol) data for a relaxed HfGa2BPb crystal, as listed in the Alexandria database.

Computed properties:
* symmetry: P4/mmm
* N(E_F): 0.83 states/eV/atom
* E_form: 150.87 kJ per mole of atoms

Geometry as POSCAR:
```
HfGa2BPb
1.0
5.3324 0.0000 0.0000
0.0000 5.3324 0.0000
0.0000 0.0000 4.0894
Hf Ga B Pb
1 2 1 1
Cartesian
0.0000 0.0000 0.0000
0.0000 2.6662 2.0447
2.6662 0.0000 2.0447
2.6662 2.6662 0.0000
2.6662 2.6662 2.0447
```


(24)
First-principles (PBEsol) data for a relaxed FeCuTc2 crystal, as listed in the Alexandria database.

Computed properties:
* symmetry: P4mm
* N(E_F): 0.85 states/eV/atom
* E_form: 20.51 kJ per mole of atoms

Geometry as POSCAR:
```
FeCuTc2
1.0
3.0485 0.0000 0.0000
0.0000 3.0485 0.0000
0.0000 0.0000 5.4518
Fe Cu Tc
1 1 2
Cartesian
0.0000 0.0000 0.0000
1.5243 1.5243 4.3205
0.0000 0.0000 2.8928
1.5243 1.5243 1.4762
```


(25)
First-principles (PBEsol) data for a relaxed MnCdW2Au crystal, as listed in the Alexandria database.

Computed properties:
* symmetry: P4/mmm
* N(E_F): 0.95 states/eV/atom
* E_form: 134.69 kJ per mole of atoms

Geometry as POSCAR:
```
MnCdW2Au
1.0
4.3798 0.0000 0.0000
0.0000 4.3798 0.0000
0.0000 0.0000 4.7836
Mn Cd W Au
1 1 2 1
Cartesian
0.0000 0.0000 0.0000
0.0000 0.0000 2.3918
0.0000 2.1899 0.0000
2.1899 0.0000 0.0000
2.1899 2.1899 2.3918
```


(26)
First-principles (PBEsol) data for a relaxed LiZnRu2 crystal, as listed in the Alexandria database.

Computed properties:
* symmetry: P4/mmm
* N(E_F): 1.12 states/eV/atom
* E_form: 23.24 kJ per mole of atoms

Geometry as POSCAR:
```
LiZnRu2
1.0
3.5714 0.0000 0.0000
0.0000 3.5714 0.0000
0.0000 0.0000 4.0919
Li Zn Ru
1 1 2
Cartesian
0.0000 0.0000 0.0000
1.7857 1.7857 0.0000
0.0000 1.7857 2.0459
1.7857 0.0000 2.0459
```